Entry 1:
Computed, not measured: BaBe2SiAs4 after structural relaxation at the PBE-GGA level of DFT.

a b c (Å): 6.2313 6.4251 6.4251
angles (deg): 73.35 60.99 60.99
Last column: nearest neighbours and their distance in Å.
Fractional positions:
Ba: 0.0000 0.0000 0.0000  8 As 3.32-3.40
Si: 0.0000 0.5000 0.5000  4 As 2.38
Be: 0.5000 0.6569 0.3431  2 As 2.16, 1 Be 2.41
As: 0.0664 0.8253 0.5250  1 Be 2.16, 1 Si 2.38
Be: 0.5000 0.3431 0.6569  2 As 2.16, 1 Be 2.41
As: 0.9336 0.4750 0.1747  1 Be 2.16, 1 Si 2.38
As: 0.5833 0.5250 0.8253  1 Be 2.16, 1 Si 2.38
As: 0.4167 0.1747 0.4750  1 Be 2.16, 1 Si 2.38

crystal system: orthorhombic
raw total energy: -4.224 eV per atom
size of the total moment: 0.00 μB/cell
space group: I222
raw formation energy: -0.39 eV/f.u.

Entry 2:
Computed, not measured: CaCr2Re after structural relaxation at the PBE-GGA level of DFT.

a b c (Å): 4.5895 4.5895 8.8987
angles (deg): 75.06 75.06 90.00
Last column: nearest neighbours and their distance in Å.
Fractional positions:
Cr: 0.3750 0.1246 0.7500  2 Cr 2.29, 2 Re 2.37
Cr: 0.8750 0.1254 0.7500  2 Cr 2.29, 2 Re 2.37
Re: 0.7500 0.2500 0.5000  4 Cr 2.37
Ca: 0.2500 0.7500 0.5000  4 Re 3.25, 8 Cr 3.30
Cr: 0.8754 0.1250 0.2500  2 Cr 2.29, 2 Re 2.37
Re: 0.0000 0.0000 0.0000  4 Cr 2.37
Ca: 0.5000 0.5000 0.0000  4 Re 3.25, 8 Cr 3.30
Cr: 0.8746 0.6250 0.2500  2 Cr 2.29, 2 Re 2.37

crystal system: tetragonal
raw total energy: -7.256 eV per atom
formation enthalpy at 0 K: 26.9 kcal/mol of atoms
size of the total moment: 3.78 μB/cell
space group: I4_1/amd
distance to the lowest polymorph of the same formula: 684.0 meV/atom

Entry 3:
Computed, not measured: YMg2Al after structural relaxation at the PBE-GGA level of DFT.

a b c (Å): 4.7039 3.2612 6.3797
angles (deg): 75.01 90.00 90.00
Last column: nearest neighbours and their distance in Å.
Fractional positions:
Mg: 0.0000 0.8086 0.0080  2 Al 2.87, 4 Mg 3.13-3.14
Y: 0.0000 0.5449 0.5354  4 Al 3.13, 7 Mg 3.25-3.47, 2 Y 3.26
Al: 0.5000 0.9407 0.7404  2 Mg 2.87, 4 Y 3.13
Mg: 0.5000 0.2058 0.2162  6 Mg 3.13-3.26, 3 Al 3.23-3.36, 4 Y 3.47

crystal system: monoclinic
raw total energy: -3.488 eV per atom
formation enthalpy at 0 K: -3.2 kcal/mol of atoms
size of the total moment: 0.00 μB/cell
space group: Pm